1.
Computed, not measured: a geometry-optimized Cd2HgPt2 structure at the GGA-PBE level of DFT.

abc: 8.0979 8.0979 2.9789
angles: 90.00 90.00 90.00
Last column: nearest neighbours and their distance in Å.
Fractional coordinates of all 10 atoms:
1 Cd 0.1413 0.3587 0.0000  6 Pt 2.77-2.82, 2 Cd 2.98
2 Cd 0.3587 0.8587 0.0000  6 Pt 2.77-2.82, 2 Cd 2.98
3 Cd 0.6413 0.1413 0.0000  6 Pt 2.77-2.82, 2 Cd 2.98
4 Cd 0.8587 0.6413 0.0000  6 Pt 2.77-2.82, 2 Cd 2.98
5 Hg 0.0000 0.0000 0.0000  2 Hg 2.98, 4 Cd 3.12
6 Hg 0.5000 0.5000 0.0000  2 Hg 2.98, 4 Cd 3.12
7 Pt 0.1546 0.6546 0.5000  6 Cd 2.77-2.82, 2 Pt 2.98
8 Pt 0.3454 0.1546 0.5000  6 Cd 2.77-2.82, 2 Pt 2.98
9 Pt 0.6546 0.8454 0.5000  6 Cd 2.77-2.82, 2 Pt 2.98
10 Pt 0.8454 0.3454 0.5000  6 Cd 2.77-2.82, 2 Pt 2.98

Computed properties:
relative energy among the computed polymorphs: 91 meV/atom
magnetization: 0.00 Bohr magnetons per cell
energy relative to the elements: -108 meV per atom
symmetry: No. 127

---

2.
Computed, not measured: a geometry-optimized MgNb2Br structure at the GGA-PBE level of DFT.

abc: 6.7076 6.7076 6.7076
angles: 90.00 90.00 90.00
Last column: nearest neighbours and their distance in Å.
Fractional coordinates of all 16 atoms:
1 Mg 0.0000 0.0000 0.0000  8 Nb 2.90
2 Mg 0.0000 0.5000 0.5000  8 Nb 2.90
3 Mg 0.5000 0.0000 0.5000  8 Nb 2.90
4 Mg 0.5000 0.5000 0.0000  8 Nb 2.90
5 Nb 0.2500 0.2500 0.2500  4 Br 2.90, 4 Mg 2.90
6 Nb 0.2500 0.2500 0.7500  4 Br 2.90, 4 Mg 2.90
7 Nb 0.2500 0.7500 0.2500  4 Br 2.90, 4 Mg 2.90
8 Nb 0.2500 0.7500 0.7500  4 Br 2.90, 4 Mg 2.90
9 Nb 0.7500 0.2500 0.2500  4 Br 2.90, 4 Mg 2.90
10 Nb 0.7500 0.2500 0.7500  4 Br 2.90, 4 Mg 2.90
11 Nb 0.7500 0.7500 0.2500  4 Br 2.90, 4 Mg 2.90
12 Nb 0.7500 0.7500 0.7500  4 Br 2.90, 4 Mg 2.90
13 Br 0.0000 0.0000 0.5000  8 Nb 2.90
14 Br 0.0000 0.5000 0.0000  8 Nb 2.90
15 Br 0.5000 0.0000 0.0000  8 Nb 2.90
16 Br 0.5000 0.5000 0.5000  8 Nb 2.90

Computed properties:
relative energy among the computed polymorphs: 357 meV/atom
magnetization: 0.00 Bohr magnetons per cell
formation energy without anion corrections: 0.8228 eV per atom
symmetry: No. 225

---

3.
Computed, not measured: a geometry-optimized Ba4Sr3 structure at the GGA-PBE level of DFT.

abc: 4.9389 4.9389 33.8864
angles: 90.00 90.00 90.00
Last column: nearest neighbours and their distance in Å.
Fractional coordinates of all 14 atoms:
1 Ba 0.0000 0.0000 0.0713  4 Sr 4.25, 4 Ba 4.31
2 Ba 0.0000 0.0000 0.3539  5 Sr 4.23-4.65, 4 Ba 4.31
3 Ba 0.0000 0.0000 0.6461  5 Sr 4.23-4.65, 4 Ba 4.31
4 Ba 0.0000 0.0000 0.9287  4 Sr 4.25, 4 Ba 4.31
5 Ba 0.5000 0.5000 0.1461  5 Sr 4.23-4.65, 4 Ba 4.31
6 Ba 0.5000 0.5000 0.4287  4 Sr 4.25, 4 Ba 4.31
7 Ba 0.5000 0.5000 0.5713  4 Sr 4.25, 4 Ba 4.31
8 Ba 0.5000 0.5000 0.8539  5 Sr 4.23-4.65, 4 Ba 4.31
9 Sr 0.0000 0.0000 0.2166  4 Sr 4.16, 5 Ba 4.23-4.65
10 Sr 0.0000 0.0000 0.5000  8 Ba 4.25
11 Sr 0.0000 0.0000 0.7834  4 Sr 4.16, 5 Ba 4.23-4.65
12 Sr 0.5000 0.5000 0.0000  8 Ba 4.25
13 Sr 0.5000 0.5000 0.2834  4 Sr 4.16, 5 Ba 4.23-4.65
14 Sr 0.5000 0.5000 0.7166  4 Sr 4.16, 5 Ba 4.23-4.65

Computed properties:
relative energy among the computed polymorphs: 1 meV/atom
magnetization: 0.00 Bohr magnetons per cell
energy relative to the elements: 5 meV per atom
symmetry: No. 139

---

4.
Computed, not measured: a geometry-optimized PrScSb2 structure at the GGA-PBE level of DFT.

abc: 4.3485 4.3485 22.1239
angles: 90.00 90.00 120.00
Last column: nearest neighbours and their distance in Å.
Fractional coordinates of all 12 atoms:
1 Pr 0.0000 0.0000 0.0000  6 Sb 3.17-3.23
2 Pr 0.3333 0.6667 0.6667  6 Sb 3.17-3.23
3 Pr 0.6667 0.3333 0.3333  6 Sb 3.17-3.23
4 Sc 0.0000 0.0000 0.1710  6 Sb 3.01-3.06
5 Sc 0.3333 0.6667 0.8376  6 Sb 3.01-3.06
6 Sc 0.6667 0.3333 0.5043  6 Sb 3.01-3.06
7 Sb 0.0000 0.0000 0.4253  3 Sc 3.06, 3 Pr 3.23, 1 Sb 3.40
8 Sb 0.0000 0.0000 0.5791  3 Sc 3.01, 3 Pr 3.17
9 Sb 0.3333 0.6667 0.0919  3 Sc 3.06, 3 Pr 3.23, 1 Sb 3.40
10 Sb 0.3333 0.6667 0.2458  3 Sc 3.01, 3 Pr 3.17
11 Sb 0.6667 0.3333 0.7586  3 Sc 3.06, 3 Pr 3.23, 1 Sb 3.40
12 Sb 0.6667 0.3333 0.9125  3 Sc 3.01, 3 Pr 3.17

Computed properties:
relative energy among the computed polymorphs: 121 meV/atom
magnetization: 0.00 Bohr magnetons per cell
formation energy without anion corrections: -0.9244 eV per atom
symmetry: No. 160

---

5.
Computed, not measured: a geometry-optimized La4Pm2Ho structure at the GGA-PBE level of DFT.

abc: 6.6114 8.8809 9.5560
angles: 63.36 87.54 85.36
Last column: nearest neighbours and their distance in Å.
Fractional coordinates of all 14 atoms:
1 La 0.0000 0.0000 0.0000  7 La 3.46-3.87, 1 Ho 3.54, 3 Pm 3.61-3.75
2 La 0.0096 0.8193 0.4100  5 La 3.40-3.75, 4 Pm 3.60-3.78, 1 Ho 3.68
3 La 0.0657 0.4239 0.7498  3 La 3.49-3.59, 3 Pm 3.52-3.75, 2 Ho 3.69-3.70
4 La 0.3084 0.6827 0.9688  2 La 3.46-3.77, 4 Pm 3.48-3.72, 3 Ho 3.55-3.58
5 La 0.5026 0.9045 0.1873  8 La 3.53-3.89, 3 Pm 3.58-3.76, 1 Ho 3.69
6 La 0.5379 0.1875 0.7636  3 Pm 3.47-3.82, 4 La 3.59-3.70, 2 Ho 3.61-3.78
7 La 0.6678 0.1178 0.4278  3 La 3.40-3.66, 4 Pm 3.51-3.80, 2 Ho 3.59-3.67
8 La 0.8345 0.5473 0.2537  3 Ho 3.46-3.77, 4 La 3.53-3.87, 2 Pm 3.55-3.68
9 Pm 0.1575 0.2506 0.1811  7 La 3.55-3.86, 3 Pm 3.57-3.61, 1 Ho 3.61
10 Pm 0.1679 0.0563 0.6036  2 Ho 3.45-3.56, 6 La 3.47-3.72, 1 Pm 3.61
11 Pm 0.5059 0.6675 0.6051  2 Ho 3.36-3.54, 4 La 3.58-3.72
12 Pm 0.6606 0.3501 0.0181  7 La 3.48-3.76, 3 Pm 3.57-3.80, 1 Ho 3.59
13 Ho 0.3292 0.4728 0.3855  8 La 3.46-3.69, 3 Pm 3.54-3.61
14 Ho 0.8101 0.7756 0.8127  3 Pm 3.36-3.59, 5 La 3.54-3.70

Computed properties:
relative energy among the computed polymorphs: 0 meV/atom
magnetization: 0.00 Bohr magnetons per cell
energy relative to the elements: 84 meV per atom
symmetry: No. 1

---

6.
Computed, not measured: a geometry-optimized Tb5ErHg3 structure at the GGA-PBE level of DFT.

abc: 9.1088 9.1088 6.9195
angles: 90.00 90.00 120.00
Last column: nearest neighbours and their distance in Å.
Fractional coordinates of all 18 atoms:
1 Tb 0.0000 0.3326 0.2500  3 Hg 3.03-3.04
2 Tb 0.0000 0.6674 0.7500  3 Hg 3.03-3.04
3 Tb 0.3326 0.0000 0.2500  3 Hg 3.03-3.04
4 Tb 0.3326 0.3326 0.7500  3 Hg 3.03-3.04
5 Tb 0.3333 0.6667 0.0000  8 Tb 3.46-3.50, 6 Hg 3.50
6 Tb 0.3333 0.6667 0.5000  8 Tb 3.46-3.50, 6 Hg 3.50
7 Tb 0.6674 0.0000 0.7500  3 Hg 3.03-3.04
8 Tb 0.6667 0.3333 0.0000  8 Tb 3.46-3.50, 6 Hg 3.50
9 Tb 0.6667 0.3333 0.5000  8 Tb 3.46-3.50, 6 Hg 3.50
10 Tb 0.6674 0.6674 0.2500  3 Hg 3.03-3.04
11 Er 0.0000 0.0000 0.0000  2 Er 3.46, 6 Tb 3.49, 6 Hg 3.49
12 Er 0.0000 0.0000 0.5000  2 Er 3.46, 6 Tb 3.49, 6 Hg 3.49
13 Hg 0.0000 0.3332 0.7500  3 Tb 3.03-3.04
14 Hg 0.0000 0.6668 0.2500  3 Tb 3.03-3.04
15 Hg 0.3332 0.0000 0.7500  3 Tb 3.03-3.04
16 Hg 0.3332 0.3332 0.2500  3 Tb 3.03-3.04
17 Hg 0.6668 0.0000 0.2500  3 Tb 3.03-3.04
18 Hg 0.6668 0.6668 0.7500  3 Tb 3.03-3.04

Computed properties:
magnetization: 0.00 Bohr magnetons per cell
energy relative to the elements: -311 meV per atom
symmetry: No. 193

---

7.
Computed, not measured: a geometry-optimized LiLaS3 structure at the GGA-PBE level of DFT.

abc: 4.5505 4.5505 4.5505
angles: 90.00 90.00 90.00
Last column: nearest neighbours and their distance in Å.
Fractional coordinates of all 5 atoms:
1 Li 0.0000 0.0000 0.0000  6 S 2.28
2 La 0.5000 0.5000 0.5000  12 S 3.22
3 S 0.0000 0.0000 0.5000  2 Li 2.28
4 S 0.0000 0.5000 0.0000  2 Li 2.28
5 S 0.5000 0.0000 0.0000  2 Li 2.28

Computed properties:
relative energy among the computed polymorphs: 394 meV/atom
magnetization: 0.00 Bohr magnetons per cell
formation energy without anion corrections: -0.9951 eV per atom
symmetry: No. 221

---

8.
Computed, not measured: a geometry-optimized BeCoCu2 structure at the GGA-PBE level of DFT.

abc: 4.8675 7.2319 2.4498
angles: 90.00 90.00 90.00
Last column: nearest neighbours and their distance in Å.
Fractional coordinates of all 8 atoms:
1 Be 0.0000 0.0000 0.0000  2 Co 2.43, 2 Be 2.45, 8 Cu 2.50
2 Be 0.5000 0.5000 0.0000  2 Co 2.43, 2 Be 2.45, 8 Cu 2.50
3 Co 0.0000 0.5000 0.0000  2 Be 2.43, 2 Co 2.45, 8 Cu 2.50
4 Co 0.5000 0.0000 0.0000  2 Be 2.43, 2 Co 2.45, 8 Cu 2.50
5 Cu 0.2500 0.2500 0.5000  4 Cu 2.43-2.45, 4 Co 2.50, 4 Be 2.50
6 Cu 0.2500 0.7500 0.5000  4 Cu 2.43-2.45, 4 Co 2.50, 4 Be 2.50
7 Cu 0.7500 0.2500 0.5000  4 Cu 2.43-2.45, 4 Co 2.50, 4 Be 2.50
8 Cu 0.7500 0.7500 0.5000  4 Cu 2.43-2.45, 4 Be 2.50, 4 Co 2.50

Computed properties:
magnetization: 2.47 Bohr magnetons per cell
energy relative to the elements: 75 meV per atom
symmetry: No. 65

---

9.
Computed, not measured: a geometry-optimized La6CoAg2C structure at the GGA-PBE level of DFT.

abc: 7.0902 7.6640 12.5734
angles: 90.00 123.14 90.00
Last column: nearest neighbours and their distance in Å.
Fractional coordinates of all 20 atoms:
1 La 0.1401 0.0181 0.2412  1 C 2.63, 1 Co 2.84
2 La 0.1401 0.4819 0.7412  1 C 2.63, 1 Co 2.84
3 La 0.2248 0.7035 0.0467  1 C 2.65, 1 Co 2.80
4 La 0.2248 0.7965 0.5467  1 C 2.65, 1 Co 2.80
5 La 0.3508 0.1882 0.0500  1 C 2.64, 1 Co 2.82
6 La 0.3508 0.3118 0.5500  1 C 2.64, 1 Co 2.82
7 La 0.6492 0.6882 0.4500  1 C 2.64, 1 Co 2.82
8 La 0.6492 0.8118 0.9500  1 C 2.64, 1 Co 2.82
9 La 0.7752 0.2035 0.4533  1 C 2.65, 1 Co 2.80
10 La 0.7752 0.2965 0.9533  1 C 2.65, 1 Co 2.80
11 La 0.8599 0.5181 0.2588  1 C 2.63, 1 Co 2.84
12 La 0.8599 0.9819 0.7588  1 C 2.63, 1 Co 2.84
13 Co 0.5000 0.0000 0.5000  6 La 2.80-2.84
14 Co 0.5000 0.5000 0.0000  6 La 2.80-2.84
15 Ag 0.2904 0.0830 0.7494  6 La 3.18-3.38
16 Ag 0.2904 0.4170 0.2494  6 La 3.18-3.38
17 Ag 0.7096 0.5830 0.7506  6 La 3.18-3.38
18 Ag 0.7096 0.9170 0.2506  6 La 3.18-3.38
19 C 0.0000 0.0000 0.0000  6 La 2.63-2.65
20 C 0.0000 0.5000 0.5000  6 La 2.63-2.65

Computed properties:
magnetization: 0.00 Bohr magnetons per cell
energy relative to the elements: -137 meV per atom
symmetry: No. 14

---

10.
Computed, not measured: a geometry-optimized KFe2Cu structure at the GGA-PBE level of DFT.

abc: 5.0455 5.0455 2.6415
angles: 90.00 90.00 90.00
Last column: nearest neighbours and their distance in Å.
Fractional coordinates of all 4 atoms:
1 K 0.0000 0.0000 0.0000  2 K 2.64, 8 Fe 2.85
2 Fe 0.0000 0.5000 0.5000  2 Fe 2.64, 4 K 2.85, 4 Cu 2.85
3 Fe 0.5000 0.0000 0.5000  2 Fe 2.64, 4 K 2.85, 4 Cu 2.85
4 Cu 0.5000 0.5000 0.0000  2 Cu 2.64, 8 Fe 2.85

Computed properties:
relative energy among the computed polymorphs: 699 meV/atom
magnetization: 5.53 Bohr magnetons per cell
energy relative to the elements: 1294 meV per atom
symmetry: No. 123

---

11.
Computed, not measured: a geometry-optimized RbPSeO2 structure at the GGA-PBE level of DFT.

abc: 4.1747 4.1747 8.1912
angles: 90.00 90.00 90.00
Last column: nearest neighbours and their distance in Å.
Fractional coordinates of all 5 atoms:
1 Rb 0.0000 0.0000 0.0000  4 O 2.09
2 P 0.0000 0.0000 0.5000  4 Se 2.95
3 Se 0.5000 0.5000 0.5000  4 P 2.95
4 O 0.0000 0.5000 0.0000  2 Rb 2.09
5 O 0.5000 0.0000 0.0000  2 Rb 2.09

Computed properties:
relative energy among the computed polymorphs: 1150 meV/atom
magnetization: 2.20 Bohr magnetons per cell
formation energy without anion corrections: 1.2302 eV per atom
symmetry: No. 123

---

12.
Computed, not measured: a geometry-optimized BeIr2Ru structure at the GGA-PBE level of DFT.

abc: 2.7982 4.3528 4.4404
angles: 90.00 90.00 90.00
Last column: nearest neighbours and their distance in Å.
Fractional coordinates of all 4 atoms:
1 Be 0.0000 0.0000 0.0000  4 Ir 2.59, 4 Ru 2.62, 2 Be 2.80
2 Ir 0.0000 0.5000 0.5000  4 Ru 2.59, 6 Ir 2.62-2.80
3 Ir 0.5000 0.5000 0.0000  4 Be 2.59, 6 Ir 2.62-2.80
4 Ru 0.5000 0.0000 0.5000  4 Ir 2.59, 4 Be 2.62, 2 Ru 2.80

Computed properties:
magnetization: 0.27 Bohr magnetons per cell
energy relative to the elements: 158 meV per atom
symmetry: No. 47